i:
The following is a DFT calculation (GGA-PBE) of a relaxed RbMoI2 crystal.

Geometry as POSCAR:
```
RbMoI2
1.0
-3.112 2.773 3.487
-5.218 0.955 -1.182
-3.923 -2.551 2.763
I Mo Rb
2 1 1
Direct
0.250 0.250 0.250
0.750 0.750 0.750
0.500 0.500 0.500
0.000 0.000 0.000
```

Output
magnetization	0.0	Bohr magnetons per cell
symmetry	Fm-3m, No. 225

=====

ii:
The following is a DFT calculation (GGA-PBE) of a relaxed RbMoI2 crystal.

Geometry as POSCAR:
```
RbMoI2
1.0
-5.683 0.637 -6.610
-5.537 -5.256 4.255
-7.279 0.856 0.562
I Rb Mo
4 2 2
Direct
0.740 0.125 0.250
0.010 0.625 0.250
0.875 0.990 0.750
0.375 0.260 0.750
0.500 0.500 0.000
0.250 0.750 0.500
0.750 0.250 0.500
0.000 0.000 0.000
```

Output
magnetization	0.1	Bohr magnetons per cell
symmetry	I-42d, No. 122

=====

It is ii that is most stable; the runner-up trails by 501 meV/atom.